Crystalline Dy4AgC2 at its relaxed geometry, computed with PBE.

Results
SG	No. 166
relative energy among the computed polymorphs	0	meV per atom
energy relative to the elements	-24.27	kJ per mole of atoms

Cell lengths 3.610, 3.610, 13.815 Å; angles 82.49, 82.49, 60.00 degrees
Each line ends with the local moment (μB).
Sites, in units of the cell vectors:
Ag 0.000 0.000 0.000  0.02
Dy 0.876 0.876 0.371  0.16
Dy 0.275 0.275 0.175  0.15
C 0.424 0.424 0.728  -0.02
C 0.576 0.576 0.272  -0.02
Dy 0.725 0.725 0.825  0.15
Dy 0.124 0.124 0.629  0.16


Crystalline DyAgC at its relaxed geometry, computed with PBE.

Results
SG	No. 12
energy relative to the elements	-15.00	kJ per mole of atoms

Cell lengths 3.600, 4.129, 8.787 Å; angles 87.85, 90.00, 115.84 degrees
Sites, in units of the cell vectors:
Dy 0.847 0.695 0.160
Ag 0.158 0.316 0.408
Ag 0.842 0.684 0.592
C 0.422 0.845 0.964
C 0.578 0.155 0.036
Dy 0.153 0.305 0.840


Crystalline Dy2FeAgC at its relaxed geometry, computed with PBE.

Results
SG	No. 123
energy relative to the elements	-30.74	kJ per mole of atoms

Cell lengths 3.670, 5.010, 5.010 Å; angles 90.00, 90.00, 90.00 degrees
Each line ends with the local moment (μB).
Sites, in units of the cell vectors:
Fe 0.500 0.000 0.000  0.24
Dy 0.000 0.500 0.000  -0.04
Ag 0.500 0.500 0.500  0.00
C 0.000 0.000 0.000  -0.01
Dy 0.000 0.000 0.500  -0.04


Crystalline DyAgH2C2SO9 at its relaxed geometry, computed with PBE.

Results
SG	No. 12
E_tot	-211.96	eV for the cell shown

Cell lengths 7.743, 7.743, 9.209 Å; angles 66.12, 66.12, 53.39 degrees
Sites, in units of the cell vectors:
S 0.329 0.329 0.298
O 0.882 0.882 0.975
H 0.696 0.696 0.984
Dy 0.244 0.244 0.737
O 0.555 0.555 0.746
H 0.415 0.415 0.854
S 0.671 0.671 0.702
O 0.780 0.398 0.408
O 0.128 0.472 0.228
O 0.336 0.336 0.897
O 0.220 0.602 0.592
O 0.528 0.872 0.772
C 0.983 0.983 0.932
O 0.472 0.128 0.228
O 0.872 0.528 0.772
O 0.943 0.943 0.214
Ag 0.920 0.920 0.669
C 0.017 0.017 0.068
Dy 0.756 0.756 0.263
O 0.118 0.118 0.025
C 0.391 0.609 0.500
C 0.609 0.391 0.500
H 0.304 0.304 0.016
O 0.602 0.220 0.592
O 0.262 0.262 0.479
O 0.398 0.780 0.408
O 0.445 0.445 0.254
Ag 0.080 0.080 0.331
O 0.738 0.738 0.521
O 0.057 0.057 0.786
O 0.664 0.664 0.103
H 0.585 0.585 0.146


Crystalline Dy2HoAgC at its relaxed geometry, computed with PBE.

Results
SG	No. 123
energy relative to the elements	-20.05	kJ per mole of atoms

Cell lengths 4.909, 4.909, 4.841 Å; angles 90.00, 90.00, 90.00 degrees
Sites, in units of the cell vectors:
Dy 0.500 0.000 0.000
Ag 0.500 0.500 0.501
C 0.000 0.000 0.000
Ho 0.000 0.000 0.500
Dy 0.000 0.500 0.000


Crystalline DyAg2C2O6 at its relaxed geometry, computed with PBE.

Results
ΔE_f (raw)	-1543	kJ/mol of formula units
SG	No. 12

Cell lengths 5.521, 5.290, 7.850 Å; angles 115.70, 90.00, 121.46 degrees
Sites, in units of the cell vectors:
C 0.060 0.120 0.312
O 0.774 0.953 0.287
C 0.940 0.880 0.688
Ag 0.675 0.350 0.090
O 0.821 0.047 0.713
O 0.179 0.953 0.287
O 0.784 0.568 0.649
O 0.226 0.047 0.713
Dy 0.500 0.000 0.500
Ag 0.325 0.650 0.910
O 0.216 0.432 0.351


Crystalline DyAgC2O8 at its relaxed geometry, computed with PBE.

Results
ΔE_f (raw)	-1210	kJ/mol of formula units
SG	No. 164

Cell lengths 5.204, 5.204, 6.713 Å; angles 90.00, 90.00, 120.00 degrees
Each line ends with the local moment (μB).
Sites, in units of the cell vectors:
O 0.377 0.188 0.216  0.33
O 0.333 0.667 0.515  0.68
C 0.667 0.333 0.280  -0.03
O 0.812 0.623 0.216  0.33
O 0.623 0.812 0.784  0.33
O 0.812 0.188 0.216  0.33
O 0.188 0.812 0.784  0.33
O 0.188 0.377 0.784  0.33
Ag 0.000 0.000 0.500  0.25
C 0.333 0.667 0.720  -0.03
Dy 0.000 0.000 0.000  -0.01
O 0.667 0.333 0.485  0.68


Crystalline Dy2AgRuC at its relaxed geometry, computed with PBE.

Results
SG	No. 123
energy relative to the elements	-36.84	kJ per mole of atoms

Cell lengths 3.891, 5.003, 5.003 Å; angles 90.00, 90.00, 90.00 degrees
Sites, in units of the cell vectors:
Ru 0.500 0.000 0.000
Dy 0.000 0.000 0.500
Dy 0.000 0.500 0.000
Ag 0.500 0.500 0.500
C 0.000 0.000 0.000


Crystalline DySc2AgC at its relaxed geometry, computed with PBE.

Results
SG	No. 123
energy relative to the elements	-33.14	kJ per mole of atoms

Cell lengths 4.483, 4.483, 5.024 Å; angles 90.00, 90.00, 90.00 degrees
Sites, in units of the cell vectors:
C 0.000 0.000 0.000
Sc 0.000 0.500 0.000
Sc 0.500 0.000 0.000
Ag 0.500 0.500 0.500
Dy 0.000 0.000 0.500


Crystalline DyTm2AgC at its relaxed geometry, computed with PBE.

Results
SG	No. 99
energy relative to the elements	-23.48	kJ per mole of atoms

Cell lengths 4.765, 4.765, 5.003 Å; angles 90.00, 90.00, 90.00 degrees
Sites, in units of the cell vectors:
Tm 0.000 0.500 0.995
C 0.000 0.000 0.010
Dy 0.000 0.000 0.493
Tm 0.500 0.000 0.995
Ag 0.500 0.500 0.506


Crystalline DyY2AgC at its relaxed geometry, computed with PBE.

Results
SG	No. 123
energy relative to the elements	-20.91	kJ per mole of atoms

Cell lengths 4.905, 4.904, 4.910 Å; angles 90.00, 90.00, 90.00 degrees
Each line ends with the local moment (μB).
Sites, in units of the cell vectors:
Y 0.500 0.000 0.000  0.14
Dy 0.000 0.000 0.500  0.18
C 0.000 0.000 0.000  -0.01
Y 0.000 0.500 0.000  0.14
Ag 0.500 0.500 0.500  0.04


Crystalline Er3Ag2C at its relaxed geometry, computed with PBE.

Results
SG	No. 65
energy relative to the elements	-29.87	kJ per mole of atoms

Cell lengths 4.974, 7.103, 7.606 Å; angles 90.00, 70.91, 90.00 degrees
Sites, in units of the cell vectors:
C 0.000 0.250 0.000
Ag 0.297 0.250 0.407
Ag 0.296 0.750 0.407
Er 0.500 0.250 0.000
Er 0.119 0.000 0.762
Er 0.881 0.500 0.238
Er 0.881 0.000 0.238
Er 0.500 0.750 0.000
Er 0.119 0.500 0.762
Ag 0.704 0.250 0.593
C 0.000 0.750 0.000
Ag 0.703 0.750 0.593


What did the sixth record say?
Crystalline DyAg2C2O6 at its relaxed geometry, computed with PBE.

Results
ΔE_f (raw)	-1543	kJ/mol of formula units
SG	No. 12

Cell lengths 5.521, 5.290, 7.850 Å; angles 115.70, 90.00, 121.46 degrees
Sites, in units of the cell vectors:
C 0.060 0.120 0.312
O 0.774 0.953 0.287
C 0.940 0.880 0.688
Ag 0.675 0.350 0.090
O 0.821 0.047 0.713
O 0.179 0.953 0.287
O 0.784 0.568 0.649
O 0.226 0.047 0.713
Dy 0.500 0.000 0.500
Ag 0.325 0.650 0.910
O 0.216 0.432 0.351